Here is a relaxed CaSbAu2 crystal from Alexandria. Energies are from PBE.

Cell lengths 3.4948, 4.7251, 5.8220 Å; angles 90.00, 90.06, 90.00 degrees
Closest atoms and distances in Å follow each position.
Fractional coordinates of all 4 atoms:
Ca 0.0000 0.0000 0.0000  6 Au 3.16-3.22, 4 Sb 3.37-3.38, 2 Ca 3.49
Sb 0.5012 0.5000 0.2849  4 Au 2.78-3.00
Au 0.4998 0.0000 0.5356  2 Sb 2.78, 2 Au 2.82
Au 0.4995 0.5000 0.8007  2 Sb 2.82-3.00, 2 Au 2.82

Results
* D(E_F): 1.0 states/eV/f.u.
* E_form (uncorrected): -197.2 kJ/mol of formula units
* final energy: -14.7 eV for the cell shown